Here is TiCoNi2 after structural relaxation from Alexandria. Energies are from PBEsol.

a = 8.187 Å, b = 5.006 Å, c = 8.734 Å
α = 90.00°, β = 90.00°, γ = 90.00°
Space group Amm2 (No. 38)
Inequivalent atoms, fractional coordinates:
Ti 0.000 0.000 0.000
Ti 0.245 0.000 0.666
Ti 0.500 0.000 0.330
Co 0.000 0.000 0.495
Co 0.000 0.239 0.254
Co 0.500 0.000 0.837
Ni 0.250 0.000 0.166
Ni 0.250 0.250 0.416
Ni 0.500 0.242 0.078

## Properties
* magnetic moment: 0.76 μB/f.u.
* theoretical density: 8.32 Mg/m³
* energy: -7.51 eV per atom
* ΔH_f (0 K): -0.414 eV/atom